In2Se2S: relaxed, PBE.

Structure (CIF):
```
data_In2Se2S
_chemical_formula_sum 'In8 Se8 S4'
_cell_length_a 21.773
_cell_length_b 4.017
_cell_length_c 6.941
_cell_angle_alpha 90.00
_cell_angle_beta 93.02
_cell_angle_gamma 90.00
_symmetry_space_group_name_H-M 'C 1 2/m 1'
_symmetry_Int_Tables_number 12
loop_
_symmetry_equiv_pos_as_xyz
'x,y,z'
'-x,-y,-z'
'-x,y,-z'
'x,-y,z'
'x+1/2,y+1/2,z'
'-x+1/2,-y+1/2,-z'
'-x+1/2,y+1/2,-z'
'x+1/2,-y+1/2,z'
loop_
_atom_site_label
_atom_site_type_symbol
_atom_site_fract_x
_atom_site_fract_y
_atom_site_fract_z
_atom_site_occupancy
In1 In 0.123 0.000 0.388 1
In2 In 0.168 0.500 0.961 1
Se1 Se 0.069 0.500 0.206 1
Se2 Se 0.110 0.000 0.753 1
S1 S 0.218 0.000 0.183 1
```

Summary:
- V (Å³ per atom) = 30.310
- magnetic moment (μB per formula unit) = 0.0
- uncorrected energy (eV per cell) = -76.26

In2Se2S: relaxed, PBE.

Structure (CIF):
```
data_In2Se2S
_chemical_formula_sum 'In4 Se4 S2'
_cell_length_a 7.737
_cell_length_b 7.737
_cell_length_c 3.819
_cell_angle_alpha 90.00
_cell_angle_beta 90.00
_cell_angle_gamma 90.00
_symmetry_space_group_name_H-M 'P 4/m b m'
_symmetry_Int_Tables_number 127
_symmetry_space_group_name_Hall '-P 4 2ab'
loop_
_atom_site_label
_atom_site_type_symbol
_atom_site_fract_x
_atom_site_fract_y
_atom_site_fract_z
_atom_site_occupancy
In1 In 0.174 0.326 0.000 1
Se1 Se 0.142 0.642 0.500 1
S1 S 0.000 0.000 0.000 1
```

Summary:
- V (Å³ per atom) = 22.863
- magnetic moment (μB per formula unit) = 0.0
- uncorrected energy (eV per cell) = -33.82

InSeS4: relaxed, PBE.

Structure (CIF):
```
data_InSeS4
_chemical_formula_sum 'In1 Se1 S4'
_cell_length_a 5.011
_cell_length_b 5.190
_cell_length_c 6.243
_cell_angle_alpha 87.50
_cell_angle_beta 75.62
_cell_angle_gamma 72.55
_symmetry_space_group_name_H-M 'P -1'
_symmetry_Int_Tables_number 2
loop_
_symmetry_equiv_pos_as_xyz
'x,y,z'
'-x,-y,-z'
loop_
_atom_site_label
_atom_site_type_symbol
_atom_site_fract_x
_atom_site_fract_y
_atom_site_fract_z
_atom_site_occupancy
In1 In 0.000 0.000 0.000 1
Se1 Se 0.000 0.500 0.500 1
S1 S 0.277 0.414 0.804 1
S2 S 0.308 0.804 0.343 1
```

Summary:
- V (Å³ per atom) = 24.992
- magnetic moment (μB per formula unit) = 0.0
- uncorrected energy (eV per cell) = -22.38

Record-wise ΔE_f (raw) values, in eV per atom: -0.50 -0.07 0.06